Record 1
The following is a PBE-GGA calculation of a relaxed structure of Ge2OsCl, from the Alexandria database.

Summary:
The value obtained for the volume is 415 Å³/cell. The value obtained for the raw formation energy is 0.360 eV per atom. The calculation puts the density of states at the Fermi level at 10.5 states/eV per cell.

Lattice parameters (Å, degrees): 5.988 5.988 11.571 90.00 90.00 90.00
Space group I-42d (No. 122)
One atom of each set of equivalent atoms:
1 Ge 0.180 0.250 0.125
2 Os 0.000 0.000 0.000
3 Cl 0.000 0.000 0.500

=====

Record 2
The following is a PBE-GGA calculation of a relaxed structure of Ac2NpPbO8, from the Alexandria database.

Summary:
The value obtained for the volume is 192 Å³/cell. The value obtained for the raw formation energy is -2.558 eV per atom. The calculation puts the density of states at the Fermi level at 1.6 states/eV per cell.

Lattice parameters (Å, degrees): 4.221 5.679 8.039 89.89 89.97 83.67
Space group P-1 (No. 2)
One atom of each set of equivalent atoms:
1 Ac 0.000 0.001 0.255
2 Np 0.500 0.500 0.500
3 Pb 0.500 0.500 0.000
4 O 0.049 0.745 0.001
5 O 0.081 0.710 0.500
6 O 0.448 0.272 0.701
7 O 0.449 0.274 0.298

=====

Record 3
The following is a PBE-GGA calculation of a relaxed structure of SrLi3Hg9, from the Alexandria database.

Summary:
The value obtained for the volume is 605 Å³/cell. As for the formation energy: -0.275 eV/atom. The calculation puts the density of states at the Fermi level at 11.4 states/eV per cell.

Lattice parameters (Å, degrees): 5.920 14.841 7.347 90.00 110.36 90.00
Space group C2/m (No. 12)
One atom of each set of equivalent atoms:
1 Sr 0.000 0.000 0.000
2 Li 0.000 0.500 0.500
3 Li 0.250 0.250 0.000
4 Hg 0.000 0.000 0.500
5 Hg 0.078 0.390 0.216
6 Hg 0.142 0.178 0.325

=====

Record 4
The following is a PBE-GGA calculation of a relaxed structure of ErUCo3, from the Alexandria database.

Summary:
The value obtained for the volume is 331 Å³/cell. As for the formation energy: -0.117 eV/atom. The calculation puts the density of states at the Fermi level at 12.2 states/eV per cell.

Lattice parameters (Å, degrees): 5.485 7.328 8.229 90.00 90.00 90.00
Space group Imma (No. 74)
One atom of each set of equivalent atoms:
1 Er 0.000 0.250 0.013
2 U 0.000 0.000 0.500
3 Co 0.000 0.250 0.679
4 Co 0.250 0.031 0.250

=====

Record 5
The following is a PBE-GGA calculation of a relaxed structure of Li2ZnCuAu5, from the Alexandria database.

Summary:
The value obtained for the volume is 578 Å³/cell. As for the formation energy: -0.152 eV/atom. The calculation puts the density of states at the Fermi level at 8.3 states/eV per cell.

Lattice parameters (Å, degrees): 6.262 6.262 14.746 90.00 90.00 90.00
Space group I4/mcm (No. 140)
One atom of each set of equivalent atoms:
1 Li 0.120 0.380 0.000
2 Zn 0.000 0.000 0.250
3 Cu 0.000 0.500 0.250
4 Au 0.000 0.000 0.000
5 Au 0.231 0.269 0.358

=====

Record 6
The following is a PBE-GGA calculation of a relaxed structure of Cr2Pd13, from the Alexandria database.

Summary:
The value obtained for the volume is 879 Å³/cell. As for the formation energy: 0.450 eV/atom. The calculation puts the density of states at the Fermi level at 85.2 states/eV per cell.

Lattice parameters (Å, degrees): 7.1862 7.1862 19.6604 90.00 90.00 120.00
Space group R-3m (No. 166, hexagonal axes)
One atom of each set of equivalent atoms:
1 Cr 0.0000 0.0000 0.2357
2 Pd 0.0000 0.0000 0.0000
3 Pd 0.0761 0.5380 0.5599
4 Pd 0.0902 0.5451 0.3096